No. 1
# Ba2OsW (GGA-PBE, optimized geometry)
data_Ba2OsW
_space_group_name_H-M_alt 'P 1'
_space_group_IT_number 1
_cell_length_a 11.8922
_cell_length_b 11.8922
_cell_length_c 11.8922
_cell_angle_alpha 14.99
_cell_angle_beta 14.99
_cell_angle_gamma 14.99
loop_
_space_group_symop_operation_xyz
'x,y,z'
loop_
_atom_site_label
_atom_site_type_symbol
_atom_site_fract_x
_atom_site_fract_y
_atom_site_fract_z
_atom_site_occupancy
Ba1 Ba 0.2462 0.2462 0.2462 1
Ba2 Ba 0.7538 0.7538 0.7538 1
Os1 Os 0.5000 0.5000 0.5000 1
W1 W 0.0000 0.0000 0.0000 1
# Electronic total energy = -5.2524 eV/atom
# Crystal system = trigonal
# Formation energy from the elements = 1755 meV/atom
# Symmetry = No. 166

---

No. 2
# AcPrAl2 (GGA-PBE, optimized geometry)
data_AcPrAl2
_space_group_name_H-M_alt 'P 1'
_space_group_IT_number 1
_cell_length_a 6.9856
_cell_length_b 6.9856
_cell_length_c 7.3618
_cell_angle_alpha 90.00
_cell_angle_beta 90.00
_cell_angle_gamma 138.86
loop_
_space_group_symop_operation_xyz
'x,y,z'
loop_
_atom_site_label
_atom_site_type_symbol
_atom_site_fract_x
_atom_site_fract_y
_atom_site_fract_z
_atom_site_occupancy
Ac1 Ac 0.0651 0.9349 0.7500 1
Ac2 Ac 0.9349 0.0651 0.2500 1
Pr1 Pr 0.2217 0.7783 0.2500 1
Pr2 Pr 0.7783 0.2217 0.7500 1
Al1 Al 0.4020 0.5980 0.5703 1
Al2 Al 0.4020 0.5980 0.9297 1
Al3 Al 0.5980 0.4020 0.0703 1
Al4 Al 0.5980 0.4020 0.4297 1
# Electronic total energy = -4.4242 eV/atom
# Crystal system = orthorhombic
# Formation energy from the elements = -331 meV/atom
# Symmetry = No. 63

---

No. 3
# La7Pr2Sc2 (GGA-PBE, optimized geometry)
data_La7Pr2Sc2
_space_group_name_H-M_alt 'P 1'
_space_group_IT_number 1
_cell_length_a 6.3203
_cell_length_b 6.3203
_cell_length_c 10.2856
_cell_angle_alpha 90.70
_cell_angle_beta 90.70
_cell_angle_gamma 112.95
loop_
_space_group_symop_operation_xyz
'x,y,z'
loop_
_atom_site_label
_atom_site_type_symbol
_atom_site_fract_x
_atom_site_fract_y
_atom_site_fract_z
_atom_site_occupancy
La1 La 0.0000 0.0000 0.0000 1
La2 La 0.1851 0.1851 0.3668 1
La3 La 0.1896 0.5912 0.1540 1
La4 La 0.4088 0.8104 0.8460 1
La5 La 0.5912 0.1896 0.1540 1
La6 La 0.8104 0.4088 0.8460 1
La7 La 0.8149 0.8149 0.6332 1
Pr1 Pr 0.2881 0.2881 0.6927 1
Pr2 Pr 0.7119 0.7119 0.3073 1
Sc1 Sc 0.2718 0.7282 0.5000 1
Sc2 Sc 0.7282 0.2718 0.5000 1
# Electronic total energy = -5.0518 eV/atom
# Crystal system = monoclinic
# Formation energy from the elements = 104 meV/atom
# Symmetry = No. 12

---

No. 4
# CaTb2Nd6Y3 (GGA-PBE, optimized geometry)
data_CaTb2Nd6Y3
_space_group_name_H-M_alt 'P 1'
_space_group_IT_number 1
_cell_length_a 6.3329
_cell_length_b 6.3329
_cell_length_c 11.9714
_cell_angle_alpha 95.03
_cell_angle_beta 95.03
_cell_angle_gamma 120.00
loop_
_space_group_symop_operation_xyz
'x,y,z'
loop_
_atom_site_label
_atom_site_type_symbol
_atom_site_fract_x
_atom_site_fract_y
_atom_site_fract_z
_atom_site_occupancy
Ca1 Ca 0.0000 0.0000 0.0000 1
Tb1 Tb 0.3333 0.6667 0.0000 1
Tb2 Tb 0.6667 0.3333 0.0000 1
Nd1 Nd 0.0846 0.4248 0.2524 1
Nd2 Nd 0.2553 0.2553 0.7468 1
Nd3 Nd 0.4248 0.0846 0.2524 1
Nd4 Nd 0.5752 0.9154 0.7476 1
Nd5 Nd 0.7447 0.7447 0.2532 1
Nd6 Nd 0.9154 0.5752 0.7476 1
Y1 Y 0.1664 0.8336 0.5000 1
Y2 Y 0.5000 0.5000 0.5000 1
Y3 Y 0.8336 0.1664 0.5000 1
# Electronic total energy = -4.9104 eV/atom
# Crystal system = monoclinic
# Formation energy from the elements = 28 meV/atom
# Symmetry = No. 12

---

No. 5
# RbZrCu2 (GGA-PBE, optimized geometry)
data_RbZrCu2
_space_group_name_H-M_alt 'P 1'
_space_group_IT_number 1
_cell_length_a 6.5846
_cell_length_b 6.5846
_cell_length_c 6.5846
_cell_angle_alpha 107.97
_cell_angle_beta 107.97
_cell_angle_gamma 112.51
loop_
_space_group_symop_operation_xyz
'x,y,z'
loop_
_atom_site_label
_atom_site_type_symbol
_atom_site_fract_x
_atom_site_fract_y
_atom_site_fract_z
_atom_site_occupancy
Rb1 Rb 0.0000 0.0000 0.0000 1
Rb2 Rb 0.7500 0.2500 0.5000 1
Zr1 Zr 0.2500 0.7500 0.5000 1
Zr2 Zr 0.5000 0.5000 0.0000 1
Cu1 Cu 0.1844 0.6250 0.0594 1
Cu2 Cu 0.3750 0.4344 0.5594 1
Cu3 Cu 0.5656 0.1250 0.9406 1
Cu4 Cu 0.8750 0.8156 0.4406 1
# Electronic total energy = -3.5341 eV/atom
# Crystal system = tetragonal
# Formation energy from the elements = 893 meV/atom
# Symmetry = No. 122

---

No. 6
# KHfH2 (GGA-PBE, optimized geometry)
data_KHfH2
_space_group_name_H-M_alt 'P 1'
_space_group_IT_number 1
_cell_length_a 5.8108
_cell_length_b 5.8108
_cell_length_c 5.8108
_cell_angle_alpha 120.50
_cell_angle_beta 120.50
_cell_angle_gamma 89.14
loop_
_space_group_symop_operation_xyz
'x,y,z'
loop_
_atom_site_label
_atom_site_type_symbol
_atom_site_fract_x
_atom_site_fract_y
_atom_site_fract_z
_atom_site_occupancy
K1 K 0.0000 0.0000 0.0000 1
K2 K 0.7500 0.2500 0.5000 1
Hf1 Hf 0.2500 0.7500 0.5000 1
Hf2 Hf 0.5000 0.5000 0.0000 1
H1 H 0.2407 0.6250 0.1157 1
H2 H 0.3750 0.4907 0.6157 1
H3 H 0.5093 0.1250 0.8843 1
H4 H 0.8750 0.7593 0.3843 1
# Electronic total energy = -4.2256 eV/atom
# Crystal system = tetragonal
# Symmetry = No. 122

---

No. 7
# La2BeCl (GGA-PBE, optimized geometry)
data_La2BeCl
_space_group_name_H-M_alt 'P 1'
_space_group_IT_number 1
_cell_length_a 4.1971
_cell_length_b 4.1971
_cell_length_c 5.9681
_cell_angle_alpha 90.00
_cell_angle_beta 90.00
_cell_angle_gamma 90.00
loop_
_space_group_symop_operation_xyz
'x,y,z'
loop_
_atom_site_label
_atom_site_type_symbol
_atom_site_fract_x
_atom_site_fract_y
_atom_site_fract_z
_atom_site_occupancy
La1 La 0.0000 0.0000 0.0000 1
La2 La 0.5000 0.5000 0.5000 1
Be1 Be 0.0000 0.0000 0.5000 1
Cl1 Cl 0.5000 0.5000 0.0000 1
# Electronic total energy = -4.5436 eV/atom
# Crystal system = tetragonal
# Symmetry = No. 123

---

No. 8
# LiCd2Ga (GGA-PBE, optimized geometry)
data_LiCd2Ga
_space_group_name_H-M_alt 'P 1'
_space_group_IT_number 1
_cell_length_a 10.7601
_cell_length_b 10.7601
_cell_length_c 10.7601
_cell_angle_alpha 16.22
_cell_angle_beta 16.22
_cell_angle_gamma 16.22
loop_
_space_group_symop_operation_xyz
'x,y,z'
loop_
_atom_site_label
_atom_site_type_symbol
_atom_site_fract_x
_atom_site_fract_y
_atom_site_fract_z
_atom_site_occupancy
Li1 Li 0.0000 0.0000 0.0000 1
Cd1 Cd 0.0868 0.0868 0.0868 1
Cd2 Cd 0.9132 0.9132 0.9132 1
Ga1 Ga 0.5000 0.5000 0.5000 1
# Electronic total energy = -1.6578 eV/atom
# Crystal system = trigonal
# Formation energy from the elements = 35 meV/atom
# Symmetry = No. 166

---

No. 9
# Nd3SbTeSe (GGA-PBE, optimized geometry)
data_Nd3SbTeSe
_space_group_name_H-M_alt 'P 1'
_space_group_IT_number 1
_cell_length_a 8.7888
_cell_length_b 4.6072
_cell_length_c 10.1381
_cell_angle_alpha 90.00
_cell_angle_beta 98.77
_cell_angle_gamma 90.00
loop_
_space_group_symop_operation_xyz
'x,y,z'
loop_
_atom_site_label
_atom_site_type_symbol
_atom_site_fract_x
_atom_site_fract_y
_atom_site_fract_z
_atom_site_occupancy
Nd1 Nd 0.0957 0.2500 0.3535 1
Nd2 Nd 0.2574 0.2500 0.9872 1
Nd3 Nd 0.3970 0.7500 0.6265 1
Nd4 Nd 0.6030 0.2500 0.3735 1
Nd5 Nd 0.7426 0.7500 0.0128 1
Nd6 Nd 0.9043 0.7500 0.6465 1
Sb1 Sb 0.1530 0.2500 0.6628 1
Sb2 Sb 0.8470 0.7500 0.3372 1
Te1 Te 0.3330 0.7500 0.2950 1
Te2 Te 0.6670 0.2500 0.7050 1
Se1 Se 0.4044 0.7500 0.9079 1
Se2 Se 0.5956 0.2500 0.0921 1
# Electronic total energy = -5.3753 eV/atom
# Crystal system = monoclinic
# Symmetry = No. 11

---

No. 10
# Ca6AlHg2 (GGA-PBE, optimized geometry)
data_Ca6AlHg2
_space_group_name_H-M_alt 'P 1'
_space_group_IT_number 1
_cell_length_a 10.4195
_cell_length_b 8.4491
_cell_length_c 7.1764
_cell_angle_alpha 83.22
_cell_angle_beta 53.63
_cell_angle_gamma 43.15
loop_
_space_group_symop_operation_xyz
'x,y,z'
loop_
_atom_site_label
_atom_site_type_symbol
_atom_site_fract_x
_atom_site_fract_y
_atom_site_fract_z
_atom_site_occupancy
Ca1 Ca 0.0290 0.3049 0.6951 1
Ca2 Ca 0.3049 0.0290 0.9710 1
Ca3 Ca 0.3592 0.6408 0.3592 1
Ca4 Ca 0.6408 0.3592 0.6408 1
Ca5 Ca 0.6951 0.9710 0.0290 1
Ca6 Ca 0.9710 0.6951 0.3049 1
Al1 Al 0.0000 0.0000 0.0000 1
Hg1 Hg 0.3384 0.3384 0.6616 1
Hg2 Hg 0.6616 0.6616 0.3384 1
# Electronic total energy = -2.1241 eV/atom
# Crystal system = orthorhombic
# Formation energy from the elements = -307 meV/atom
# Symmetry = No. 69